--- one ---
A geometry-optimized EuSnGe2 structure, computed with PBE.

Cell: 5.7994 5.7994 5.7994 Å, 48.88 48.88 48.88°
Last column: nearest neighbours and their distance in Å.
Fractional positions:
Eu (0.0000, 0.0000, 0.0000)  8 Ge 3.28-3.34
Sn (0.5000, 0.5000, 0.5000)  6 Ge 2.88
Ge (0.2185, 0.2185, 0.2185)  3 Sn 2.88, 3 Ge 3.19
Ge (0.7815, 0.7815, 0.7815)  3 Sn 2.88, 3 Ge 3.19


--- two ---
A geometry-optimized EuSnGe2 structure, computed with PBE.

Cell: 4.6394 4.6394 4.2806 Å, 90.00 90.00 90.00°
Last column: nearest neighbours and their distance in Å.
Fractional positions:
Eu (0.0000, 0.0000, 0.0000)  8 Ge 3.16, 4 Sn 3.28
Sn (0.5000, 0.5000, 0.0000)  8 Ge 3.16, 4 Eu 3.28
Ge (0.0000, 0.5000, 0.5000)  4 Sn 3.16, 4 Eu 3.16, 4 Ge 3.28
Ge (0.5000, 0.0000, 0.5000)  4 Sn 3.16, 4 Eu 3.16, 4 Ge 3.28


Which of them is most stable, and which least? Most stable: two; least stable: one.